PBE-GGA TaW2Au, optimized geometry; energy relative to the lowest polymorph listed for this composition = 0.182 eV per atom; volume = 136.0 Å³ per cell; space group = Cm, No. 8; energy relative to the elements = 0.2795 eV/atom; N(E_F) = 0.71 states/eV/atom
1.0
9.562 0.000 0.000
0.000 2.772 0.000
-0.647 0.000 5.133
Ta W Au
2 4 2
direct
0.000 0.000 0.000
0.500 0.500 0.000
0.009 0.500 0.500
0.255 0.500 0.265
0.509 0.000 0.500
0.755 0.000 0.265
0.253 0.000 0.760
0.753 0.500 0.760